No. 1
## Sr2HoGe3Au12 (PBE)

Data for a relaxed Sr2HoGe3Au12 crystal.

Results
- ΔE_f: -0.157 eV per atom

Cell: 8.057 8.057 8.057 Å, 70.60 70.60 70.60°
Element x y z (fractional)
Au 0.629 0.149 0.149
Au 0.690 0.690 0.159
Au 0.371 0.851 0.851
Au 0.310 0.310 0.841
Au 0.310 0.841 0.310
Au 0.149 0.629 0.149
Au 0.851 0.851 0.371
Au 0.149 0.149 0.629
Au 0.851 0.371 0.851
Au 0.841 0.310 0.310
Au 0.690 0.159 0.690
Au 0.159 0.690 0.690
Sr 0.601 0.601 0.601
Sr 0.399 0.399 0.399
Ge 0.000 0.500 0.000
Ge 0.000 0.000 0.500
Ge 0.500 0.000 0.000
Ho 0.000 0.000 0.000

No. 2
## SrHoGeAu (PBE)

Data for a relaxed SrHoGeAu crystal.

Results
- ΔE_f: -0.664 eV per atom

Cell: 5.230 5.230 5.230 Å, 60.00 60.00 60.00°
Element x y z (fractional)
Ge 0.250 0.250 0.250
Ho 0.000 0.000 0.000
Sr 0.500 0.500 0.500
Au 0.750 0.750 0.750

No. 3
## TbHoGeAu (PBE)

Data for a relaxed TbHoGeAu crystal.

Results
- ΔE_f: -0.749 eV per atom
- Energy relative to the lowest polymorph listed for this composition: 111 meV/atom

Cell: 5.077 5.077 5.077 Å, 60.00 60.00 60.00°
Each line ends with the local moment (μB).
Element x y z (fractional)
Au 0.750 0.750 0.750  0.03
Tb 0.000 0.000 0.000  0.17
Ge 0.250 0.250 0.250  -0.01
Ho 0.500 0.500 0.500  0.17

No. 4
## TbHoGeAu (PBE)

Data for a relaxed TbHoGeAu crystal.

Results
- ΔE_f: -0.860 eV per atom
- Energy relative to the lowest polymorph listed for this composition: 0 meV/atom

Cell: 4.048 4.319 5.828 Å, 90.00 110.32 90.00°
Element x y z (fractional)
Ge 0.587 0.500 0.173
Ho 0.138 0.000 0.276
Tb 0.860 0.500 0.720
Au 0.416 0.000 0.831

No. 5
## Ho8Ge3Te4Au (PBE)

Data for a relaxed Ho8Ge3Te4Au crystal.

Results
- Raw formation energy: -1.122 eV per atom

Cell: 8.449 8.589 8.450 Å, 119.47 120.00 90.00°
Element x y z (fractional)
Ho 0.245 0.724 0.979
Ho 0.245 0.724 0.490
Ho 0.740 0.719 0.479
Ho 0.260 0.281 0.521
Ho 0.755 0.276 0.021
Ho 0.755 0.276 0.510
Ho 0.267 0.276 0.021
Ho 0.733 0.724 0.979
Ge 0.000 0.500 0.500
Ge 0.500 0.500 0.500
Ge 0.500 0.500 0.000
Au 0.000 0.500 0.000
Te 0.000 0.000 0.500
Te 0.500 0.000 0.500
Te 0.500 0.000 0.000
Te 0.000 0.000 0.000

No. 6
## YHoGeAu (PBE)

Data for a relaxed YHoGeAu crystal.

Results
- ΔE_f: -0.757 eV per atom
- Energy relative to the lowest polymorph listed for this composition: 115 meV/atom

Cell: 5.071 5.071 5.071 Å, 60.00 60.00 60.00°
Each line ends with the local moment (μB).
Element x y z (fractional)
Au 0.500 0.500 0.500  0.03
Ge 0.000 0.000 0.000  -0.01
Y 0.250 0.250 0.250  0.12
Ho 0.750 0.750 0.750  0.15

no.,spin magnetization (μB/atom)
1,0.00
2,0.00
3,0.12
4,0.00
5,0.00
6,0.11